Na2TmHf2Se6: optimized geometry, PBE.

- Formation energy without anion corrections: -1.441 eV/atom
- Calculated volume: 281.4 Å³/f.u.

```
data_Na2TmHf2Se6
_symmetry_space_group_name_H-M 'P 1'
_symmetry_Int_Tables_number 1
_cell_length_a 6.732
_cell_length_b 6.732
_cell_length_c 7.523
_cell_angle_alpha 98.37
_cell_angle_beta 98.37
_cell_angle_gamma 120.30
loop_
_symmetry_equiv_pos_as_xyz
'x,y,z'
loop_
_atom_site_label
_atom_site_type_symbol
_atom_site_fract_x
_atom_site_fract_y
_atom_site_fract_z
_atom_site_occupancy
Hf1 Hf 0.667 0.333 0.500 1
Hf2 Hf 0.333 0.667 0.500 1
Na1 Na 0.163 0.837 0.000 1
Na2 Na 0.837 0.163 0.000 1
Se1 Se 0.724 0.724 0.721 1
Se2 Se 0.073 0.418 0.721 1
Se3 Se 0.276 0.276 0.279 1
Se4 Se 0.582 0.927 0.279 1
Se5 Se 0.418 0.073 0.721 1
Se6 Se 0.927 0.582 0.279 1
Tm1 Tm 0.000 0.000 0.500 1
```

---

Na2TmHfSe4: optimized geometry, PBE.

- Formation energy without anion corrections: -1.450 eV/atom
- Calculated volume: 191.2 Å³/f.u.

```
data_Na2TmHfSe4
_symmetry_space_group_name_H-M 'P 1'
_symmetry_Int_Tables_number 1
_cell_length_a 3.937
_cell_length_b 6.866
_cell_length_c 7.426
_cell_angle_alpha 107.76
_cell_angle_beta 90.00
_cell_angle_gamma 90.00
loop_
_symmetry_equiv_pos_as_xyz
'x,y,z'
loop_
_atom_site_label
_atom_site_type_symbol
_atom_site_fract_x
_atom_site_fract_y
_atom_site_fract_z
_atom_site_occupancy
Na1 Na 0.000 0.500 0.500 1
Na2 Na 0.500 0.000 0.500 1
Se1 Se 0.000 0.269 0.777 1
Se2 Se 0.000 0.731 0.223 1
Se3 Se 0.500 0.747 0.772 1
Se4 Se 0.500 0.253 0.228 1
Hf1 Hf 0.500 0.500 0.000 1
Tm1 Tm 0.000 0.000 0.000 1
```

---

Na4Hf3USe8: optimized geometry, PBE.

- Formation energy without anion corrections: -1.218 eV/atom
- Calculated volume: 373.6 Å³/f.u.

```
data_Na4Hf3USe8
_symmetry_space_group_name_H-M 'P 1'
_symmetry_Int_Tables_number 1
_cell_length_a 7.744
_cell_length_b 8.471
_cell_length_c 7.744
_cell_angle_alpha 117.22
_cell_angle_beta 120.00
_cell_angle_gamma 90.00
loop_
_symmetry_equiv_pos_as_xyz
'x,y,z'
loop_
_atom_site_label
_atom_site_type_symbol
_atom_site_fract_x
_atom_site_fract_y
_atom_site_fract_z
_atom_site_occupancy
Na1 Na 0.500 0.000 0.500 1
Na2 Na 0.000 0.000 0.500 1
Na3 Na 0.500 0.000 0.000 1
Na4 Na 0.000 0.000 0.000 1
Hf1 Hf 0.500 0.500 0.500 1
Hf2 Hf 0.000 0.500 0.500 1
Hf3 Hf 0.500 0.500 0.000 1
Se1 Se 0.260 0.279 0.520 1
Se2 Se 0.750 0.272 0.022 1
Se3 Se 0.250 0.728 0.500 1
Se4 Se 0.729 0.728 0.978 1
Se5 Se 0.750 0.272 0.500 1
Se6 Se 0.250 0.728 0.978 1
Se7 Se 0.740 0.721 0.480 1
Se8 Se 0.271 0.272 0.022 1
U1 U 0.000 0.500 0.000 1
```

---

Na3HfV2Se6: optimized geometry, PBE.

- Formation energy without anion corrections: -1.043 eV/atom
- Calculated volume: 264.1 Å³/f.u.

```
data_Na3HfV2Se6
_symmetry_space_group_name_H-M 'P 1'
_symmetry_Int_Tables_number 1
_cell_length_a 6.613
_cell_length_b 6.613
_cell_length_c 7.314
_cell_angle_alpha 98.67
_cell_angle_beta 98.67
_cell_angle_gamma 120.01
loop_
_symmetry_equiv_pos_as_xyz
'x,y,z'
loop_
_atom_site_label
_atom_site_type_symbol
_atom_site_fract_x
_atom_site_fract_y
_atom_site_fract_z
_atom_site_occupancy
Se1 Se 0.071 0.411 0.212 1
Se2 Se 0.730 0.730 0.211 1
Se3 Se 0.589 0.929 0.788 1
Se4 Se 0.411 0.071 0.212 1
Se5 Se 0.270 0.270 0.789 1
Se6 Se 0.929 0.589 0.788 1
Na1 Na 0.164 0.836 0.500 1
Na2 Na 0.836 0.164 0.500 1
Na3 Na 0.500 0.500 0.500 1
V1 V 0.333 0.667 0.000 1
V2 V 0.667 0.333 0.000 1
Hf1 Hf 0.000 0.000 0.000 1
```

---

Na3Hf3VSe8: optimized geometry, PBE.

- Formation energy without anion corrections: -1.212 eV/atom
- Calculated volume: 358.0 Å³/f.u.

```
data_Na3Hf3VSe8
_symmetry_space_group_name_H-M 'P 1'
_symmetry_Int_Tables_number 1
_cell_length_a 7.568
_cell_length_b 7.568
_cell_length_c 8.438
_cell_angle_alpha 116.66
_cell_angle_beta 90.00
_cell_angle_gamma 120.00
loop_
_symmetry_equiv_pos_as_xyz
'x,y,z'
loop_
_atom_site_label
_atom_site_type_symbol
_atom_site_fract_x
_atom_site_fract_y
_atom_site_fract_z
_atom_site_occupancy
Hf1 Hf 0.500 0.000 0.500 1
Hf2 Hf 0.000 0.500 0.500 1
Hf3 Hf 0.500 0.500 0.500 1
Na1 Na 0.000 0.000 0.000 1
Na2 Na 0.500 0.500 0.000 1
Na3 Na 0.000 0.500 0.000 1
V1 V 0.000 0.000 0.500 1
Se1 Se 0.259 0.519 0.278 1
Se2 Se 0.742 0.978 0.715 1
Se3 Se 0.764 0.527 0.285 1
Se4 Se 0.741 0.481 0.722 1
Se5 Se 0.763 0.022 0.285 1
Se6 Se 0.237 0.978 0.715 1
Se7 Se 0.236 0.473 0.715 1
Se8 Se 0.258 0.022 0.285 1
```

---

Na3Y3HfSe8: optimized geometry, PBE.

- Formation energy without anion corrections: -1.636 eV/atom
- Calculated volume: 408.8 Å³/f.u.

```
data_Na3Y3HfSe8
_symmetry_space_group_name_H-M 'P 1'
_symmetry_Int_Tables_number 1
_cell_length_a 8.158
_cell_length_b 8.157
_cell_length_c 8.513
_cell_angle_alpha 118.59
_cell_angle_beta 90.00
_cell_angle_gamma 120.00
loop_
_symmetry_equiv_pos_as_xyz
'x,y,z'
loop_
_atom_site_label
_atom_site_type_symbol
_atom_site_fract_x
_atom_site_fract_y
_atom_site_fract_z
_atom_site_occupancy
Se1 Se 0.231 0.462 0.720 1
Se2 Se 0.231 0.988 0.720 1
Se3 Se 0.243 0.012 0.280 1
Se4 Se 0.757 0.988 0.720 1
Se5 Se 0.769 0.012 0.280 1
Se6 Se 0.743 0.487 0.730 1
Se7 Se 0.769 0.538 0.280 1
Se8 Se 0.257 0.513 0.270 1
Na1 Na 0.000 0.500 0.000 1
Na2 Na 0.500 0.500 0.000 1
Na3 Na 0.000 0.000 0.000 1
Hf1 Hf 0.000 0.000 0.500 1
Y1 Y 0.500 0.500 0.500 1
Y2 Y 0.500 0.000 0.500 1
Y3 Y 0.000 0.500 0.500 1
```

---

Na4YHf3Se8: optimized geometry, PBE.

- Formation energy without anion corrections: -1.345 eV/atom
- Calculated volume: 374.1 Å³/f.u.

```
data_Na4YHf3Se8
_symmetry_space_group_name_H-M 'P 1'
_symmetry_Int_Tables_number 1
_cell_length_a 7.781
_cell_length_b 8.433
_cell_length_c 7.781
_cell_angle_alpha 117.48
_cell_angle_beta 120.00
_cell_angle_gamma 90.00
loop_
_symmetry_equiv_pos_as_xyz
'x,y,z'
loop_
_atom_site_label
_atom_site_type_symbol
_atom_site_fract_x
_atom_site_fract_y
_atom_site_fract_z
_atom_site_occupancy
Se1 Se 0.248 0.727 0.497 1
Se2 Se 0.270 0.273 0.022 1
Se3 Se 0.751 0.273 0.022 1
Se4 Se 0.730 0.727 0.978 1
Se5 Se 0.740 0.721 0.481 1
Se6 Se 0.260 0.279 0.519 1
Se7 Se 0.249 0.727 0.978 1
Se8 Se 0.752 0.273 0.503 1
Na1 Na 0.000 0.000 0.500 1
Na2 Na 0.000 0.000 0.000 1
Na3 Na 0.500 0.000 0.500 1
Na4 Na 0.500 0.000 0.000 1
Hf1 Hf 0.000 0.500 0.500 1
Hf2 Hf 0.500 0.500 0.500 1
Hf3 Hf 0.500 0.500 0.000 1
Y1 Y 0.000 0.500 0.000 1
```

---

Na2YHfSe4: optimized geometry, PBE.

- Formation energy without anion corrections: -1.456 eV/atom
- Calculated volume: 194.1 Å³/f.u.

```
data_Na2YHfSe4
_symmetry_space_group_name_H-M 'P 1'
_symmetry_Int_Tables_number 1
_cell_length_a 3.963
_cell_length_b 6.915
_cell_length_c 7.439
_cell_angle_alpha 107.83
_cell_angle_beta 90.00
_cell_angle_gamma 90.00
loop_
_symmetry_equiv_pos_as_xyz
'x,y,z'
loop_
_atom_site_label
_atom_site_type_symbol
_atom_site_fract_x
_atom_site_fract_y
_atom_site_fract_z
_atom_site_occupancy
Na1 Na 0.500 0.000 0.500 1
Na2 Na 0.000 0.500 0.500 1
Y1 Y 0.000 0.000 0.000 1
Se1 Se 0.500 0.742 0.770 1
Se2 Se 0.000 0.272 0.776 1
Se3 Se 0.000 0.728 0.224 1
Se4 Se 0.500 0.258 0.230 1
Hf1 Hf 0.500 0.500 0.000 1
```

---

What did the eighth record say?
Na2YHfSe4: optimized geometry, PBE.

- Formation energy without anion corrections: -1.456 eV/atom
- Calculated volume: 194.1 Å³/f.u.

```
data_Na2YHfSe4
_symmetry_space_group_name_H-M 'P 1'
_symmetry_Int_Tables_number 1
_cell_length_a 3.963
_cell_length_b 6.915
_cell_length_c 7.439
_cell_angle_alpha 107.83
_cell_angle_beta 90.00
_cell_angle_gamma 90.00
loop_
_symmetry_equiv_pos_as_xyz
'x,y,z'
loop_
_atom_site_label
_atom_site_type_symbol
_atom_site_fract_x
_atom_site_fract_y
_atom_site_fract_z
_atom_site_occupancy
Na1 Na 0.500 0.000 0.500 1
Na2 Na 0.000 0.500 0.500 1
Y1 Y 0.000 0.000 0.000 1
Se1 Se 0.500 0.742 0.770 1
Se2 Se 0.000 0.272 0.776 1
Se3 Se 0.000 0.728 0.224 1
Se4 Se 0.500 0.258 0.230 1
Hf1 Hf 0.500 0.500 0.000 1
```